[1]
# Hf4CoPN2

An optimized crystal structure of Hf4CoPN2 (GGA-PBE, OQMD).

a = 3.2677 Å, b = 3.2677 Å, c = 12.4193 Å
α = 90.00°, β = 90.00°, γ = 120.00°
Fractional coordinates of all 8 atoms:
N  0.3333  0.6667  0.2540
P  0.6667  0.3333  0.5000
Co  0.0000  0.0000  0.0000
N  0.3333  0.6667  0.7460
Hf  0.6667  0.3333  0.8506
Hf  0.0000  0.0000  0.3567
Hf  0.6667  0.3333  0.1494
Hf  0.0000  0.0000  0.6433

symmetry: P-6m2
raw total energy: -78.1 eV per cell
size of the total moment: 0.23 μB/cell



[2]
# Hf4CoPbN2

An optimized crystal structure of Hf4CoPbN2 (GGA-PBE, OQMD).

a = 3.2142 Å, b = 3.2142 Å, c = 14.0033 Å
α = 90.00°, β = 90.00°, γ = 120.00°
Fractional coordinates of all 8 atoms:
Hf  0.3333  0.6667  0.8224
N  0.0000  0.0000  0.7299
Hf  0.3333  0.6667  0.1776
Pb  0.6667  0.3333  0.0000
Hf  0.6667  0.3333  0.6358
N  0.0000  0.0000  0.2701
Co  0.3333  0.6667  0.5000
Hf  0.6667  0.3333  0.3642

energy above the most stable polymorph in this dataset: 0.0 kJ per mole of atoms
symmetry: P-6m2
raw total energy: -74.2 eV per cell
size of the total moment: 0.01 μB/cell



[3]
# Hf4CoSbN2

An optimized crystal structure of Hf4CoSbN2 (GGA-PBE, OQMD).

a = 3.2344 Å, b = 3.2344 Å, c = 13.5554 Å
α = 90.00°, β = 90.00°, γ = 120.00°
Fractional coordinates of all 8 atoms:
Hf  0.6667  0.3333  0.8613
N  0.3333  0.6667  0.7650
Hf  0.0000  0.0000  0.6703
Hf  0.0000  0.0000  0.3297
Hf  0.6667  0.3333  0.1387
Co  0.0000  0.0000  0.0000
N  0.3333  0.6667  0.2350
Sb  0.6667  0.3333  0.5000

symmetry: P-6m2
raw total energy: -75.0 eV per cell
size of the total moment: 0.36 μB/cell



[4]
# Hf2Sc4Co3N3

An optimized crystal structure of Hf2Sc4Co3N3 (GGA-PBE, OQMD).

a = 5.4114 Å, b = 5.4114 Å, c = 13.3053 Å
α = 90.41°, β = 101.32°, γ = 119.99°
Fractional coordinates of all 24 atoms:
Sc  0.2726  0.3000  0.4052
Sc  0.7274  0.7000  0.5948
Hf  0.2598  0.4609  0.8869
Sc  0.9389  0.8011  0.9051
Sc  0.6040  0.9662  0.4051
N  0.3451  0.1905  0.0000
Sc  0.0611  0.1989  0.0949
Co  0.8351  0.1011  0.2509
N  0.6549  0.8095  0.0000
Sc  0.3960  0.0338  0.5949
Hf  0.0740  0.3730  0.6131
Co  0.6498  0.4157  0.7509
Sc  0.6052  0.1326  0.9052
N  0.0000  0.0000  0.5000
N  0.0000  0.5000  0.0000
N  0.3094  0.6549  0.4999
Co  0.1649  0.8989  0.7491
Co  0.3502  0.5843  0.2491
Hf  0.7402  0.5391  0.1131
N  0.6906  0.3451  0.5001
Sc  0.3948  0.8674  0.0948
Co  0.6773  0.9273  0.7500
Co  0.3227  0.0727  0.2500
Hf  0.9260  0.6270  0.3869

symmetry: C2/c
raw total energy: -204.5 eV per cell
size of the total moment: 0.07 μB/cell



[5]
# Hf4Sc2Co3N3

An optimized crystal structure of Hf4Sc2Co3N3 (GGA-PBE, OQMD).

a = 5.4502 Å, b = 5.4502 Å, c = 13.6069 Å
α = 101.89°, β = 101.89°, γ = 60.01°
Fractional coordinates of all 24 atoms:
N  0.1672  0.6663  0.5000
Hf  0.8611  0.6966  0.5953
N  0.3337  0.8328  0.0000
Hf  0.6966  0.8611  0.0953
N  0.0000  0.5000  0.0000
Co  0.1032  0.4147  0.7498
Hf  0.7958  0.9755  0.4047
Co  0.0668  0.9332  0.7500
Co  0.4147  0.1032  0.2498
Sc  0.5407  0.3749  0.6179
Hf  0.9755  0.7958  0.9047
Sc  0.6251  0.4593  0.8821
Sc  0.4593  0.6251  0.3821
Co  0.8968  0.5853  0.2502
N  0.8328  0.3337  0.5000
N  0.6663  0.1672  0.0000
Hf  0.2042  0.0245  0.5953
Sc  0.3749  0.5407  0.1179
Co  0.5853  0.8968  0.7502
Co  0.9332  0.0668  0.2500
Hf  0.3034  0.1389  0.9047
Hf  0.1389  0.3034  0.4047
N  0.5000  0.0000  0.5000
Hf  0.0245  0.2042  0.0953

symmetry: C2/c
raw total energy: -220.4 eV per cell
size of the total moment: 0.00 μB/cell



[6]
# Hf4CoSiN2

An optimized crystal structure of Hf4CoSiN2 (GGA-PBE, OQMD).

a = 3.1723 Å, b = 3.1723 Å, c = 13.2701 Å
α = 90.00°, β = 90.00°, γ = 120.00°
Fractional coordinates of all 8 atoms:
Hf  0.0000  0.0000  0.3552
Hf  0.6667  0.3333  0.8434
Hf  0.0000  0.0000  0.6448
Si  0.0000  0.0000  0.0000
Co  0.6667  0.3333  0.5000
N  0.3333  0.6667  0.7451
N  0.3333  0.6667  0.2549
Hf  0.6667  0.3333  0.1566

symmetry: P-6m2
raw total energy: -77.1 eV per cell
size of the total moment: 0.05 μB/cell